[1]
The following is a SCAN calculation of Li2SbPb at its PBEsol-relaxed geometry, from Alexandria via LeMat-Bulk.

Unit cell a=3.135 b=4.115 c=6.700 alpha=90.00 beta=90.00 gamma=90.00
Fractional positions:
Li1 0.000 0.000 0.225
Li2 0.000 0.000 0.775
Sb1 0.500 0.500 0.000
Pb1 0.500 0.500 0.500

The total energy is -29.86 eV per atom. As for the energy above the lowest structure with this stoichiometry: 0.475 kcal/mol of atoms. The value obtained for the formation energy without anion corrections is -409 meV/atom.

[2]
The following is a SCAN calculation of InMoPt at its PBEsol-relaxed geometry, from Alexandria via LeMat-Bulk.

Unit cell a=2.881 b=2.881 c=12.036 alpha=90.00 beta=90.00 gamma=90.00
Fractional positions:
In1 0.000 0.000 0.000
In2 0.500 0.500 0.500
Mo1 0.000 0.000 0.323
Mo2 0.500 0.500 0.823
Pt1 0.000 0.000 0.678
Pt2 0.500 0.500 0.178

The total energy is -46.27 eV per atom. The calculation puts the calculated formation energy at -2.7 kcal/mol of atoms.